Entry from Alexandria via LeMat-Bulk: a geometry-optimized KTm2Ni structure (PBE).

POSCAR file:
```
KTm2Ni
1.0
1.9746 1.1400 10.8262
-1.9746 1.1400 10.8262
0.0000 -2.2801 10.8262
K Tm Ni
1 2 1
Cartesian
0.0000 0.0000 0.0000 K
0.0000 0.0000 4.0520 Tm
0.0000 0.0000 28.4266 Tm
0.0000 0.0000 16.2393 Ni
```

Calculated values
The calculation puts the total energy at -15.85 eV for the cell shown. The mass density is 4947 kg/m3. The energy relative to the elements comes out at -0.007 eV per atom.